Entry 1:
Material: CrCSeBr2
Method: DFT, GGA-PBE
State: relaxed

Unit cell a=4.8304 b=4.8304 c=4.3628 alpha=90.00 beta=90.00 gamma=90.00
Closest atoms and distances in Å follow each position.
Sites, in units of the cell vectors:
Br  0.5000  0.0000  0.0000  2 C 2.42
Br  0.0000  0.5000  0.0000  2 C 2.42
Cr  0.5000  0.5000  0.5000  8 Br 3.25, 4 Se 3.42
C  0.0000  0.0000  0.0000  2 Se 2.18, 4 Br 2.42
Se  0.0000  0.0000  0.5000  2 C 2.18

Summary:
**Fermi-level density of states**: 0.643 states/eV per atom
**Magnetic moment**: 4.308 Bohr magnetons per cell
**Polymorph energy (0 for the lowest one)**: 0.0000 eV per atom
**ρ**: 4.939 g/cm³

Entry 2:
Material: CrCSe2Br
Method: DFT, GGA-PBE
State: relaxed

Unit cell a=4.3715 b=4.3715 c=4.5880 alpha=90.00 beta=90.00 gamma=90.00
Closest atoms and distances in Å follow each position.
Sites, in units of the cell vectors:
Br  0.0000  0.0000  0.5000  2 C 2.29
C  0.0000  0.0000  0.0000  4 Se 2.19, 2 Br 2.29
Se  0.5000  0.0000  0.0000  2 C 2.19
Se  0.0000  0.5000  0.0000  2 C 2.19
Cr  0.5000  0.5000  0.5000  4 Br 3.09, 8 Se 3.17

Summary:
**Fermi-level density of states**: 1.202 states/eV per atom
**Magnetic moment**: 0.122 Bohr magnetons per cell
**Polymorph energy (0 for the lowest one)**: 0.1562 eV per atom
**ρ**: 5.716 g/cm³

Entry 3:
Material: CrSiCBr2
Method: DFT, GGA-PBE
State: relaxed

Unit cell a=5.1117 b=3.6567 c=5.1117 alpha=90.00 beta=90.00 gamma=90.00
Closest atoms and distances in Å follow each position.
Sites, in units of the cell vectors:
Cr  0.0000  0.0000  0.0000  2 C 1.83
Br  0.0000  0.0000  0.5000  2 Cr 2.56
Br  0.5000  0.0000  0.0000  2 Cr 2.56
C  0.0000  0.5000  0.0000  2 Cr 1.83
Si  0.5000  0.5000  0.5000  8 Br 3.14

Summary:
**Fermi-level density of states**: 0.904 states/eV per atom
**Magnetic moment**: 0.000 Bohr magnetons per cell
**ρ**: 4.378 g/cm³
**DFT total energy**: -4.516 eV per atom

Entry 4:
Material: ZrCr2CBr
Method: DFT, GGA-PBE
State: relaxed

Unit cell a=3.9069 b=4.7719 c=3.9069 alpha=90.00 beta=90.00 gamma=90.00
Closest atoms and distances in Å follow each position.
Sites, in units of the cell vectors:
Br  0.5000  0.5000  0.5000  4 Zr 2.76, 8 Cr 3.08
Cr  0.0000  0.0000  0.5000  2 C 1.95
Cr  0.5000  0.0000  0.0000  2 C 1.95
C  0.0000  0.0000  0.0000  4 Cr 1.95
Zr  0.0000  0.5000  0.0000  2 C 2.39

Summary:
**Fermi-level density of states**: 1.108 states/eV per atom
**Magnetic moment**: 0.000 Bohr magnetons per cell
**ρ**: 6.546 g/cm³
**DFT total energy**: -7.378 eV per atom